! CsPb3 SCAN PBEsol geometry; values from VASP
! Calculated density, g cm⁻³: 8.177
! Energy of formation from the pure elements, eV per atom: -0.232
&SYSTEM
  ibrav = 0, nat = 8, ntyp = 2
/
ATOMIC_SPECIES
Cs 132.91 Cs.upf
Pb 207.20 Pb.upf
ATOMIC_POSITIONS crystal
Cs 0.750 0.333 0.667
Cs 0.250 0.667 0.333
Pb 0.250 0.734 0.867
Pb 0.250 0.133 0.266
Pb 0.250 0.133 0.867
Pb 0.750 0.266 0.133
Pb 0.750 0.867 0.734
Pb 0.750 0.867 0.133
CELL_PARAMETERS angstrom
-2.970 4.447 1.904
-4.969 -0.710 -6.094
-1.444 -3.850 6.740